Record 1
{"formula": "DyPS", "functional": "GGA-PBEsol", "state": "optimized geometry", "e_form_raw_ev_per_atom": -1.596, "dos_at_fermi_per_ev_cell": 0.7, "final_energy_ev_per_cell": -79.77, "cell": [[6.8817, 0.0000, 0.0000], [0.0000, 3.6098, 0.0000], [0.0000, 0.0000, 9.0663]], "species": ["Dy", "Dy", "Dy", "Dy", "P", "P", "P", "P", "S", "S", "S", "S"], "fractional_positions": [[0.2070, 0.2500, 0.1597], [0.2930, 0.7500, 0.6597], [0.7070, 0.2500, 0.3403], [0.7930, 0.7500, 0.8403], [0.0913, 0.2500, 0.4616], [0.4087, 0.7500, 0.9616], [0.5913, 0.2500, 0.0384], [0.9087, 0.7500, 0.5384], [0.0936, 0.2500, 0.8459], [0.4064, 0.7500, 0.3459], [0.5936, 0.2500, 0.6541], [0.9064, 0.7500, 0.1541]]}

Record 2
{"formula": "DyPaRu2", "functional": "GGA-PBEsol", "state": "optimized geometry", "dos_at_fermi_per_ev_cell": 3.3, "final_energy_ev_per_cell": -36.90, "formation_enthalpy_0k_kj_per_mol_fu": -130, "cell": [[0.0000, 3.3667, 3.3667], [3.3667, 0.0000, 3.3667], [3.3667, 3.3667, 0.0000]], "species": ["Dy", "Pa", "Ru", "Ru"], "fractional_positions": [[0.0000, 0.0000, 0.0000], [0.5000, 0.5000, 0.5000], [0.2500, 0.2500, 0.2500], [0.7500, 0.7500, 0.7500]]}

Record 3
{"formula": "DyPaTc2", "functional": "GGA-PBEsol", "state": "optimized geometry", "dos_at_fermi_per_ev_cell": 3.3, "final_energy_ev_per_cell": -38.11, "formation_enthalpy_0k_kj_per_mol_fu": -36, "cell": [[0.0000, 3.3747, 3.3747], [3.3747, 0.0000, 3.3747], [3.3747, 3.3747, 0.0000]], "species": ["Dy", "Pa", "Tc", "Tc"], "fractional_positions": [[0.0000, 0.0000, 0.0000], [0.5000, 0.5000, 0.5000], [0.2500, 0.2500, 0.2500], [0.7500, 0.7500, 0.7500]]}

Record 4
{"formula": "DyPb3", "functional": "GGA-PBEsol", "state": "optimized geometry", "dos_at_fermi_per_ev_cell": 2.5, "final_energy_ev_per_cell": -18.25, "formation_enthalpy_0k_kj_per_mol_fu": -123, "cell": [[4.7826, 0.0000, 0.0000], [0.0000, 4.7826, 0.0000], [0.0000, 0.0000, 4.7826]], "species": ["Dy", "Pb", "Pb", "Pb"], "fractional_positions": [[0.0000, 0.0000, 0.0000], [0.0000, 0.5000, 0.5000], [0.5000, 0.0000, 0.5000], [0.5000, 0.5000, 0.0000]]}

Record 5
{"formula": "DyPdPb", "functional": "GGA-PBEsol", "state": "optimized geometry", "dos_at_fermi_per_ev_cell": 3.6, "final_energy_ev_per_cell": -51.62, "formation_enthalpy_0k_kj_per_mol_fu": -219, "cell": [[7.6569, 0.0000, 0.0000], [-3.8284, 6.6310, 0.0000], [0.0000, 0.0000, 3.8632]], "species": ["Dy", "Dy", "Dy", "Pd", "Pd", "Pd", "Pb", "Pb", "Pb"], "fractional_positions": [[0.0000, 0.5976, 0.0000], [0.4024, 0.4024, 0.0000], [0.5976, 0.0000, 0.0000], [0.0000, 0.0000, 0.0000], [0.3333, 0.6667, 0.5000], [0.6667, 0.3333, 0.5000], [0.0000, 0.2652, 0.5000], [0.2652, 0.0000, 0.5000], [0.7348, 0.7348, 0.5000]]}

Record 6
{"formula": "Dy2Pd2Pb", "functional": "GGA-PBEsol", "state": "optimized geometry", "dos_at_fermi_per_ev_cell": 5.2, "final_energy_ev_per_cell": -60.28, "formation_enthalpy_0k_kj_per_mol_fu": -412, "cell": [[7.7348, 0.0000, 0.0000], [0.0000, 7.7348, 0.0000], [0.0000, 0.0000, 3.5917]], "species": ["Dy", "Dy", "Dy", "Dy", "Pd", "Pd", "Pd", "Pd", "Pb", "Pb"], "fractional_positions": [[0.1723, 0.3277, 0.0000], [0.3277, 0.8277, 0.0000], [0.6723, 0.1723, 0.0000], [0.8277, 0.6723, 0.0000], [0.1257, 0.6257, 0.5000], [0.3743, 0.1257, 0.5000], [0.6257, 0.8743, 0.5000], [0.8743, 0.3743, 0.5000], [0.0000, 0.0000, 0.5000], [0.5000, 0.5000, 0.5000]]}

Record 7
{"formula": "DyPd3", "functional": "GGA-PBEsol", "state": "optimized geometry", "dos_at_fermi_per_ev_cell": 2.1, "final_energy_ev_per_cell": -26.43, "formation_enthalpy_0k_kj_per_mol_fu": -345, "cell": [[4.0427, 0.0000, 0.0000], [0.0000, 4.0427, 0.0000], [0.0000, 0.0000, 4.0427]], "species": ["Dy", "Pd", "Pd", "Pd"], "fractional_positions": [[0.0000, 0.0000, 0.0000], [0.0000, 0.5000, 0.5000], [0.5000, 0.0000, 0.5000], [0.5000, 0.5000, 0.0000]]}

Record 8
{"formula": "Dy2PdPt", "functional": "GGA-PBEsol", "state": "optimized geometry", "dos_at_fermi_per_ev_cell": 4.3, "final_energy_ev_per_cell": -54.46, "formation_enthalpy_0k_kj_per_mol_fu": -420, "cell": [[4.5183, 0.0000, 0.0000], [0.0000, 5.4728, 0.0000], [0.0000, 0.0000, 6.8350]], "species": ["Dy", "Dy", "Dy", "Dy", "Pd", "Pd", "Pt", "Pt"], "fractional_positions": [[0.0000, 0.1040, 0.0000], [0.0000, 0.8960, 0.5000], [0.5000, 0.3883, 0.6358], [0.5000, 0.6117, 0.1358], [0.0000, 0.4080, 0.3586], [0.0000, 0.5920, 0.8586], [0.5000, 0.0999, 0.2750], [0.5000, 0.9001, 0.7750]]}

Record 9
{"formula": "Dy2PdRh", "functional": "GGA-PBEsol", "state": "optimized geometry", "dos_at_fermi_per_ev_cell": 1.7, "final_energy_ev_per_cell": -27.47, "formation_enthalpy_0k_kj_per_mol_fu": -330, "cell": [[0.0000, 3.4048, 3.4048], [3.4048, 0.0000, 3.4048], [3.4048, 3.4048, 0.0000]], "species": ["Dy", "Dy", "Pd", "Rh"], "fractional_positions": [[0.2500, 0.2500, 0.2500], [0.7500, 0.7500, 0.7500], [0.0000, 0.0000, 0.0000], [0.5000, 0.5000, 0.5000]]}

Record 10
{"formula": "Dy3Sb4Pd8", "functional": "GGA-PBEsol", "state": "optimized geometry", "e_form_raw_ev_per_atom": -0.864, "dos_at_fermi_per_ev_cell": 15.5, "final_energy_ev_per_cell": -187.59, "cell": [[0.0000, 6.5230, 6.5230], [6.5230, 0.0000, 6.5230], [6.5230, 6.5230, 0.0000]], "species": ["Dy", "Dy", "Dy", "Dy", "Dy", "Dy", "Sb", "Sb", "Sb", "Sb", "Sb", "Sb", "Sb", "Sb", "Pd", "Pd", "Pd", "Pd", "Pd", "Pd", "Pd", "Pd", "Pd", "Pd", "Pd", "Pd", "Pd", "Pd", "Pd", "Pd"], "fractional_positions": [[0.2252, 0.2252, 0.7748], [0.2252, 0.7748, 0.2252], [0.2252, 0.7748, 0.7748], [0.7748, 0.2252, 0.2252], [0.7748, 0.2252, 0.7748], [0.7748, 0.7748, 0.2252], [0.0000, 0.0000, 0.0000], [0.0000, 0.0000, 0.5000], [0.0000, 0.5000, 0.0000], [0.0000, 0.5000, 0.5000], [0.5000, 0.0000, 0.0000], [0.5000, 0.0000, 0.5000], [0.5000, 0.5000, 0.0000], [0.5000, 0.5000, 0.5000], [0.1434, 0.6189, 0.6189], [0.1675, 0.1675, 0.1675], [0.1675, 0.1675, 0.4974], [0.1675, 0.4974, 0.1675], [0.3811, 0.3811, 0.3811], [0.3811, 0.3811, 0.8566], [0.3811, 0.8566, 0.3811], [0.4974, 0.1675, 0.1675], [0.5026, 0.8325, 0.8325], [0.6189, 0.1434, 0.6189], [0.6189, 0.6189, 0.1434], [0.6189, 0.6189, 0.6189], [0.8325, 0.5026, 0.8325], [0.8325, 0.8325, 0.5026], [0.8325, 0.8325, 0.8325], [0.8566, 0.3811, 0.3811]]}

Record 11
{"formula": "DySbPd", "functional": "GGA-PBEsol", "state": "optimized geometry", "e_form_raw_ev_per_atom": -1.152, "dos_at_fermi_per_ev_cell": 0.0, "final_energy_ev_per_cell": -18.95, "cell": [[0.0000, 3.2480, 3.2480], [3.2480, 0.0000, 3.2480], [3.2480, 3.2480, 0.0000]], "species": ["Dy", "Sb", "Pd"], "fractional_positions": [[0.0000, 0.0000, 0.0000], [0.5000, 0.5000, 0.5000], [0.2500, 0.2500, 0.2500]]}

Record 12
{"formula": "DySbPd", "functional": "GGA-PBEsol", "state": "optimized geometry", "e_form_raw_ev_per_atom": -1.114, "dos_at_fermi_per_ev_cell": 0.6, "final_energy_ev_per_cell": -37.67, "cell": [[4.5348, 0.0000, 0.0000], [-2.2674, 3.9272, 0.0000], [0.0000, 0.0000, 7.2721]], "species": ["Dy", "Dy", "Sb", "Sb", "Pd", "Pd"], "fractional_positions": [[0.0000, 0.0000, 0.0000], [0.0000, 0.0000, 0.5000], [0.3333, 0.6667, 0.2276], [0.6667, 0.3333, 0.7276], [0.3333, 0.6667, 0.8329], [0.6667, 0.3333, 0.3329]]}

Record 13
{"formula": "DySnPd2", "functional": "GGA-PBEsol", "state": "optimized geometry", "dos_at_fermi_per_ev_cell": 1.9, "final_energy_ev_per_cell": -24.73, "formation_enthalpy_0k_kj_per_mol_fu": -345, "cell": [[0.0000, 3.3384, 3.3384], [3.3384, 0.0000, 3.3384], [3.3384, 3.3384, 0.0000]], "species": ["Dy", "Sn", "Pd", "Pd"], "fractional_positions": [[0.0000, 0.0000, 0.0000], [0.5000, 0.5000, 0.5000], [0.2500, 0.2500, 0.2500], [0.7500, 0.7500, 0.7500]]}

Record 14
{"formula": "DySnPd", "functional": "GGA-PBEsol", "state": "optimized geometry", "dos_at_fermi_per_ev_cell": 5.9, "final_energy_ev_per_cell": -72.28, "formation_enthalpy_0k_kj_per_mol_fu": -277, "cell": [[7.0940, 0.0000, 0.0000], [0.0000, 4.5784, 0.0000], [0.0000, 0.0000, 7.8445]], "species": ["Dy", "Dy", "Dy", "Dy", "Sn", "Sn", "Sn", "Sn", "Pd", "Pd", "Pd", "Pd"], "fractional_positions": [[0.0093, 0.2500, 0.2048], [0.4907, 0.7500, 0.7048], [0.5093, 0.2500, 0.2952], [0.9907, 0.7500, 0.7952], [0.1926, 0.2500, 0.5872], [0.3074, 0.7500, 0.0872], [0.6926, 0.2500, 0.9128], [0.8074, 0.7500, 0.4128], [0.2067, 0.7500, 0.4163], [0.2933, 0.2500, 0.9163], [0.7067, 0.7500, 0.0837], [0.7933, 0.2500, 0.5837]]}

Record 15
{"formula": "Dy7Te2Pd2", "functional": "GGA-PBEsol", "state": "optimized geometry", "e_form_raw_ev_per_atom": -0.854, "dos_at_fermi_per_ev_cell": 8.5, "final_energy_ev_per_cell": -63.21, "cell": [[-1.9414, 7.7872, 4.7359], [1.9414, -7.7872, 4.7359], [1.9414, 7.7872, -4.7359]], "species": ["Dy", "Dy", "Dy", "Dy", "Dy", "Dy", "Dy", "Te", "Te", "Pd", "Pd"], "fractional_positions": [[0.0000, 0.0000, 0.0000], [0.2876, 0.4166, 0.8710], [0.3049, 0.6236, 0.6813], [0.5457, 0.4166, 0.1290], [0.6185, 0.2626, 0.3558], [0.9068, 0.2626, 0.6442], [0.9423, 0.6236, 0.3187], [0.2650, 0.7650, 0.5000], [0.6635, 0.6635, 0.0000], [0.1657, 0.9291, 0.2367], [0.6924, 0.9291, 0.7633]]}

Record 16
{"formula": "DyTlPd", "functional": "GGA-PBEsol", "state": "optimized geometry", "dos_at_fermi_per_ev_cell": 7.2, "final_energy_ev_per_cell": -47.01, "formation_enthalpy_0k_kj_per_mol_fu": -203, "cell": [[7.6436, 0.0000, 0.0000], [-3.8218, 6.6196, 0.0000], [0.0000, 0.0000, 3.7930]], "species": ["Dy", "Dy", "Dy", "Tl", "Tl", "Tl", "Pd", "Pd", "Pd"], "fractional_positions": [[0.0000, 0.4051, 0.0000], [0.4051, 0.0000, 0.0000], [0.5949, 0.5949, 0.0000], [0.0000, 0.7347, 0.5000], [0.2653, 0.2653, 0.5000], [0.7347, 0.0000, 0.5000], [0.0000, 0.0000, 0.0000], [0.3333, 0.6667, 0.5000], [0.6667, 0.3333, 0.5000]]}

Record 17
{"formula": "Pm3Dy", "functional": "GGA-PBEsol", "state": "optimized geometry", "relative_energy_mev_per_atom": 19, "dos_at_fermi_per_ev_cell": 12.9, "final_energy_ev_per_cell": -40.56, "formation_enthalpy_0k_kj_per_mol_fu": 10, "cell": [[7.1480, 0.0000, 0.0000], [-3.5740, 6.1903, 0.0000], [0.0000, 0.0000, 5.7250]], "species": ["Pm", "Pm", "Pm", "Pm", "Pm", "Pm", "Dy", "Dy"], "fractional_positions": [[0.1669, 0.3338, 0.2500], [0.1669, 0.8331, 0.2500], [0.3338, 0.1669, 0.7500], [0.6662, 0.8331, 0.2500], [0.8331, 0.1669, 0.7500], [0.8331, 0.6662, 0.7500], [0.3333, 0.6667, 0.7500], [0.6667, 0.3333, 0.2500]]}

Record 18
{"formula": "Pm3Dy", "functional": "GGA-PBEsol", "state": "optimized geometry", "relative_energy_mev_per_atom": 0, "dos_at_fermi_per_ev_cell": 5.4, "final_energy_ev_per_cell": -20.36, "formation_enthalpy_0k_kj_per_mol_fu": 3, "cell": [[5.0066, 0.0000, 0.0000], [0.0000, 5.0066, 0.0000], [0.0000, 0.0000, 5.0066]], "species": ["Pm", "Pm", "Pm", "Dy"], "fractional_positions": [[0.0000, 0.0000, 0.5000], [0.0000, 0.5000, 0.0000], [0.5000, 0.0000, 0.0000], [0.5000, 0.5000, 0.5000]]}

Record 19
{"formula": "PmDyRh2", "functional": "GGA-PBEsol", "state": "optimized geometry", "dos_at_fermi_per_ev_cell": 2.3, "final_energy_ev_per_cell": -29.26, "formation_enthalpy_0k_kj_per_mol_fu": -276, "cell": [[0.0000, 3.4158, 3.4158], [3.4158, 0.0000, 3.4158], [3.4158, 3.4158, 0.0000]], "species": ["Pm", "Dy", "Rh", "Rh"], "fractional_positions": [[0.0000, 0.0000, 0.0000], [0.5000, 0.5000, 0.5000], [0.2500, 0.2500, 0.2500], [0.7500, 0.7500, 0.7500]]}

Record 20
{"formula": "PmDyZn2", "functional": "GGA-PBEsol", "state": "optimized geometry", "dos_at_fermi_per_ev_cell": 4.2, "final_energy_ev_per_cell": -14.56, "formation_enthalpy_0k_kj_per_mol_fu": -124, "cell": [[0.0000, 3.5412, 3.5412], [3.5412, 0.0000, 3.5412], [3.5412, 3.5412, 0.0000]], "species": ["Pm", "Dy", "Zn", "Zn"], "fractional_positions": [[0.0000, 0.0000, 0.0000], [0.5000, 0.5000, 0.5000], [0.2500, 0.2500, 0.2500], [0.7500, 0.7500, 0.7500]]}